[1]
VASP calculation (meta-GGA SCAN) on Ni2Pt at its PBEsol-relaxed geometry.

total magnetic moment	8.0	Bohr magnetons per cell
formation enthalpy at 0 K	-135	meV/atom
electronic total energy	-2.5221	Ry per atom

abc: 5.1401 5.1961 5.7299
angles: 103.08 102.87 90.08
Closest atoms and distances in Å follow each position.
Atoms (fractional coordinates):
Ni (0.0000, 0.0000, 0.0000)  8 Ni 2.51-2.64, 4 Pt 2.57-2.61
Ni (0.9999, 0.4994, 0.0002)  8 Ni 2.51-2.64, 4 Pt 2.57-2.62
Ni (0.1595, 0.1691, 0.6753)  8 Ni 2.48-2.66, 4 Pt 2.50-2.55
Ni (0.1600, 0.6679, 0.6753)  8 Ni 2.48-2.66, 4 Pt 2.50-2.55
Ni (0.3390, 0.8368, 0.3489)  6 Pt 2.53-2.65, 6 Ni 2.56-2.64
Ni (0.6766, 0.1684, 0.6732)  8 Ni 2.48-2.66, 4 Pt 2.55-2.58
Ni (0.6773, 0.6673, 0.6732)  8 Ni 2.48-2.66, 4 Pt 2.54-2.58
Ni (0.8346, 0.3363, 0.3471)  6 Ni 2.51-2.63, 6 Pt 2.52-2.64
Pt (0.3268, 0.3374, 0.3513)  10 Ni 2.52-2.62, 2 Pt 2.69
Pt (0.4984, 0.4983, 0.9949)  8 Ni 2.54-2.65, 4 Pt 2.60-2.69
Pt (0.4988, 0.9986, 0.9953)  8 Ni 2.55-2.65, 4 Pt 2.60-2.69
Pt (0.8475, 0.8367, 0.3483)  10 Ni 2.50-2.61, 2 Pt 2.68

[2]
VASP calculation (meta-GGA SCAN) on Mg2InTe at its PBEsol-relaxed geometry.

total magnetic moment	0.0	Bohr magnetons per cell
electronic total energy	-1.4982	Ry per atom

abc: 6.5309 6.5309 6.5309
angles: 104.90 104.90 119.07
Closest atoms and distances in Å follow each position.
Atoms (fractional coordinates):
Mg (0.1106, 0.6250, 0.9856)  2 Te 2.86, 2 In 3.01
Mg (0.3750, 0.3606, 0.4856)  2 Te 2.86, 2 In 3.01
Mg (0.6394, 0.1250, 0.0144)  2 Te 2.86, 2 In 3.01
Mg (0.8750, 0.8894, 0.5144)  2 Te 2.86, 2 In 3.01
In (0.2500, 0.7500, 0.5000)  4 Mg 3.01, 2 Te 3.31
In (0.5000, 0.5000, 0.0000)  4 Mg 3.01, 2 Te 3.31
Te (0.0000, 0.0000, 0.0000)  4 Mg 2.86
Te (0.7500, 0.2500, 0.5000)  4 Mg 2.86

[3]
VASP calculation (meta-GGA SCAN) on Ir2RuPt at its PBEsol-relaxed geometry.

E above lowest polymorph	17	meV per atom
total magnetic moment	0.0	Bohr magnetons per cell
formation enthalpy at 0 K	10	meV/atom
electronic total energy	-4.5418	Ry per atom

abc: 4.6996 4.6996 4.6996
angles: 131.98 131.98 70.26
Closest atoms and distances in Å follow each position.
Atoms (fractional coordinates):
Ir (0.2500, 0.7500, 0.5000)  4 Ir 2.70, 4 Pt 2.71, 4 Ru 2.71
Ir (0.7500, 0.2500, 0.5000)  4 Ir 2.70, 4 Pt 2.71, 4 Ru 2.71
Ru (0.0000, 0.0000, 0.0000)  4 Pt 2.70, 8 Ir 2.71
Pt (0.5000, 0.5000, 0.0000)  4 Ru 2.70, 8 Ir 2.71

[4]
VASP calculation (meta-GGA SCAN) on AlAs2Ru at its PBEsol-relaxed geometry.

total magnetic moment	0.0	Bohr magnetons per cell
formation enthalpy at 0 K	112	meV/atom
electronic total energy	-1.5161	Ry per atom

abc: 4.7820 4.7820 4.7820
angles: 130.91 130.91 71.95
Closest atoms and distances in Å follow each position.
Atoms (fractional coordinates):
Al (0.0000, 0.0000, 0.0000)  8 As 2.77-2.81, 4 Ru 2.77
As (0.5000, 0.5000, 0.0000)  4 As 2.77, 4 Ru 2.77, 4 Al 2.81
As (0.7500, 0.2500, 0.5000)  4 As 2.77, 4 Al 2.77, 4 Ru 2.81
Ru (0.2500, 0.7500, 0.5000)  8 As 2.77-2.81, 4 Al 2.77